No. 1
A relaxed Tb2Mn2C3 crystal, computed with PBE.

```
Tb2Mn2C3
1.0
3.407 0.000 0.000
0.000 5.531 0.253
-1.704 -1.528 4.847
Tb Mn C
2 2 3
Direct
0.605 0.816 0.210 Tb
0.395 0.184 0.790 Tb
0.842 0.605 0.685 Mn
0.158 0.395 0.315 Mn
0.000 0.500 0.000 C
0.292 0.723 0.583 C
0.708 0.277 0.417 C
```

Properties
Total magnetic moment   0.00 μB per cell
Volume   93 Å³/f.u.
Theoretical density   8.311 g/cm³
ΔE_f   -310 meV/atom
VASP energy   -8.206 eV per atom

No. 2
A relaxed Tb2MnC crystal, computed with PBE.

```
Tb2MnC
1.0
-1.408 2.277 2.236
-3.467 0.301 0.230
-1.750 -5.375 7.091
C Mn Tb
1 1 2
Direct
0.500 0.500 0.500 C
0.000 0.000 0.000 Mn
0.115 0.115 0.654 Tb
0.885 0.885 0.346 Tb
```

Properties
Total magnetic moment   3.55 μB per cell
Volume   93 Å³/f.u.
Theoretical density   6.859 g/cm³
ΔE_f   302 meV/atom
VASP energy   -6.611 eV per atom

No. 3
A relaxed Tb3MnC crystal, computed with PBE.

```
Tb3MnC
1.0
-4.109 1.320 -2.387
-1.037 -4.748 -0.842
-2.523 -0.199 4.234
C Mn Tb
1 1 3
Direct
0.000 0.000 0.000 C
0.500 0.500 0.500 Mn
0.000 0.500 0.000 Tb
0.000 0.000 0.500 Tb
0.500 0.000 0.000 Tb
```

Properties
Total magnetic moment   4.35 μB per cell
Volume   120 Å³/f.u.
Theoretical density   7.524 g/cm³
ΔE_f   85 meV/atom
VASP energy   -6.372 eV per atom

No. 4
A relaxed TbMnTcC3 crystal, computed with PBE.

```
TbMnTcC3
1.0
-3.099 0.535 -1.081
0.280 -4.832 -3.195
-2.794 -1.138 7.447
Tb Mn Tc C
2 2 2 6
Direct
0.750 0.692 0.717 Tb
0.250 0.308 0.283 Tb
0.250 0.158 0.610 Mn
0.750 0.842 0.390 Mn
0.250 0.719 0.091 Tc
0.750 0.281 0.909 Tc
0.250 0.782 0.491 C
0.750 0.925 0.160 C
0.750 0.517 0.169 C
0.750 0.218 0.509 C
0.250 0.483 0.831 C
0.250 0.075 0.840 C
```

Properties
Total magnetic moment   0.98 μB per cell
Volume   71 Å³/f.u.
Theoretical density   8.172 g/cm³
ΔE_f   61 meV/atom
VASP energy   -8.579 eV per atom

No. 5
A relaxed TbTh2MnC4 crystal, computed with PBE.

```
TbTh2MnC4
1.0
3.597 0.000 0.000
-1.798 5.980 0.000
0.000 0.000 12.483
Tb Th Mn C
2 4 2 8
Direct
0.107 0.213 0.750 Tb
0.893 0.787 0.250 Tb
0.366 0.732 0.545 Th
0.634 0.268 0.045 Th
0.634 0.268 0.455 Th
0.366 0.732 0.955 Th
0.826 0.651 0.750 Mn
0.174 0.349 0.250 Mn
0.271 0.542 0.139 C
0.729 0.458 0.639 C
0.729 0.458 0.861 C
0.271 0.542 0.361 C
0.000 0.000 0.500 C
0.000 0.000 0.000 C
0.397 0.794 0.750 C
0.603 0.206 0.250 C
```

Properties
Total magnetic moment   2.23 μB per cell
Volume   134 Å³/f.u.
Theoretical density   8.980 g/cm³
ΔE_f   -6 meV/atom
VASP energy   -8.198 eV per atom

No. 6
A relaxed Tb2UMn2C4 crystal, computed with PBE.

```
Tb2UMn2C4
1.0
-2.166 2.561 -0.009
-3.449 -5.106 2.250
2.916 2.484 4.625
Tb U Mn C
2 1 2 4
Direct
0.863 0.726 0.451 Tb
0.137 0.274 0.549 Tb
0.000 0.000 0.000 U
0.317 0.634 0.003 Mn
0.683 0.366 0.997 Mn
0.779 0.559 0.798 C
0.221 0.441 0.202 C
0.466 0.932 0.242 C
0.534 0.068 0.758 C
```

Properties
Total magnetic moment   2.20 μB per cell
Volume   121 Å³/f.u.
Theoretical density   9.807 g/cm³
ΔE_f   -108 meV/atom
VASP energy   -8.529 eV per atom

No. 7
A relaxed TbUMnC3 crystal, computed with PBE.

```
TbUMnC3
1.0
3.498 0.000 0.000
0.000 7.006 1.046
0.000 -1.624 7.136
Tb U Mn C
2 2 2 6
Direct
0.750 0.851 0.821 Tb
0.250 0.149 0.179 Tb
0.250 0.636 0.180 U
0.750 0.364 0.820 U
0.250 0.093 0.585 Mn
0.750 0.907 0.415 Mn
0.250 0.841 0.482 C
0.750 0.862 0.157 C
0.750 0.417 0.129 C
0.750 0.159 0.518 C
0.250 0.583 0.871 C
0.250 0.138 0.843 C
```

Properties
Total magnetic moment   0.00 μB per cell
Volume   90 Å³/f.u.
Theoretical density   8.962 g/cm³
ΔE_f   -77 meV/atom
VASP energy   -8.870 eV per atom

No. 8
A relaxed TbMnW2C4 crystal, computed with PBE.

```
TbMnW2C4
1.0
-0.147 1.571 2.787
-3.031 -4.722 0.663
8.688 -5.109 3.337
Tb Mn W C
2 2 4 8
Direct
0.105 0.211 0.750 Tb
0.895 0.789 0.250 Tb
0.840 0.680 0.750 Mn
0.160 0.320 0.250 Mn
0.373 0.747 0.541 W
0.627 0.253 0.041 W
0.627 0.253 0.459 W
0.373 0.747 0.959 W
0.265 0.530 0.115 C
0.735 0.470 0.615 C
0.735 0.470 0.885 C
0.265 0.530 0.385 C
0.000 0.000 0.500 C
0.000 0.000 0.000 C
0.429 0.858 0.750 C
0.571 0.142 0.250 C
```

Properties
Total magnetic moment   0.00 μB per cell
Volume   92 Å³/f.u.
Theoretical density   11.350 g/cm³
ΔE_f   -50 meV/atom
VASP energy   -9.626 eV per atom

> Which of these has the lowest ΔE_f?

Tb2Mn2C3

> Which value of VASP energy does entry 7 give?

-8.870 eV per atom

Copy entry 3 word for word.
A relaxed Tb3MnC crystal, computed with PBE.

```
Tb3MnC
1.0
-4.109 1.320 -2.387
-1.037 -4.748 -0.842
-2.523 -0.199 4.234
C Mn Tb
1 1 3
Direct
0.000 0.000 0.000 C
0.500 0.500 0.500 Mn
0.000 0.500 0.000 Tb
0.000 0.000 0.500 Tb
0.500 0.000 0.000 Tb
```

Properties
Total magnetic moment   4.35 μB per cell
Volume   120 Å³/f.u.
Theoretical density   7.524 g/cm³
ΔE_f   85 meV/atom
VASP energy   -6.372 eV per atom

> theoretical density of number 2 (Tb2MnC)?

6.859 g/cm³